VASP calculation (PBE-GGA) on an optimized crystal structure of FeSi17Ge13P.

Unit cell a=5.5510 b=3.9236 c=31.3645 alpha=90.00 beta=90.34 gamma=90.00
Each line ends with the local moment (μB).
Positions (direct):
Si (0.2563, 0.5000, 0.1243)  0.00
Si (0.5324, 0.5000, 0.6915)  -0.03
Ge (0.7561, 0.0000, 0.1887)  0.00
Ge (0.2656, 0.5000, 0.5007)  0.00
Si (0.7567, 0.0000, 0.5670)  0.00
Si (0.2446, 0.5000, 0.2521)  0.00
Si (0.7456, 0.0000, 0.3114)  0.00
Fe (0.7373, 0.0000, 0.6838)  0.74
Si (0.7441, 0.0000, 0.0622)  0.00
Si (0.4971, 0.5000, 0.4358)  0.00
Ge (0.0003, 0.0000, 0.5027)  0.00
Ge (0.4921, 0.5000, 0.1889)  0.00
Ge (0.7478, 0.0000, 0.4371)  0.00
Ge (0.0055, 0.0000, 0.1238)  0.00
P (0.9870, 0.0000, 0.6294)  -0.01
Ge (0.0042, 0.0000, 0.8717)  0.00
Si (0.7420, 0.0000, 0.8089)  0.00
Si (0.0034, 0.0000, 0.2519)  0.00
Si (0.5124, 0.5000, 0.5647)  0.00
Si (0.9668, 0.0000, 0.7435)  -0.02
Si (0.9930, 0.0000, 0.0016)  0.00
Ge (0.2307, 0.5000, 0.7487)  0.00
Si (0.2581, 0.5000, 0.3734)  0.00
Ge (0.2588, 0.5000, 0.6283)  0.00
Ge (0.2435, 0.5000, 0.0019)  0.00
Si (0.5040, 0.5000, 0.3121)  0.00
Ge (0.0062, 0.0000, 0.3731)  0.00
Si (0.5046, 0.5000, 0.0637)  0.00
Si (0.2564, 0.5000, 0.8723)  0.00
Si (0.4987, 0.5000, 0.8108)  0.00
Ge (0.4927, 0.5000, 0.9368)  0.00
Ge (0.7562, 0.0000, 0.9372)  0.00

Results
magnetization = 0.67 μB/f.u.
uncorrected energy = -0.3771 Ry per atom
distance to the lowest polymorph of the same formula = 19 meV per atom
density = 3.7 g/cm3